No. 1
TiCuSi2F, relaxed, DFT PBE; total magnetic moment = 0.000 μB per cell; E_tot = -24.1 eV for the cell shown; ΔE_f (raw) = 0.113 eV/atom; mass density = 4.05 Mg/m³
1.0
4.4191 0.0000 0.0000
0.0000 3.9128 0.0000
0.0000 0.0000 4.4191
Si F Cu Ti
2 1 1 1
direct
0.0000 0.0000 0.5000
0.5000 0.0000 0.0000
0.0000 0.0000 0.0000
0.5000 0.5000 0.5000
0.0000 0.5000 0.0000

=====

No. 2
Pr8Ge3TeI4, relaxed, DFT PBE; total magnetic moment = 0.000 μB per cell; E_tot = -78.8 eV for the cell shown; ΔE_f (raw) = -1.084 eV/atom; mass density = 6.23 Mg/m³
1.0
8.8857 0.0000 0.0000
0.0000 9.2639 0.2631
-4.4428 -4.4417 6.2847
Pr Ge Te I
8 3 1 4
direct
0.2445 0.7028 0.9583
0.2445 0.7028 0.4890
0.2671 0.3012 0.5341
0.7138 0.7028 0.9583
0.2862 0.2972 0.0417
0.7329 0.6988 0.4659
0.7555 0.2972 0.5110
0.7555 0.2972 0.0417
0.5000 0.5000 0.0000
0.5000 0.5000 0.5000
0.0000 0.5000 0.5000
0.0000 0.5000 0.0000
0.5000 0.0000 0.0000
0.5000 0.0000 0.5000
0.0000 0.0000 0.0000
0.0000 0.0000 0.5000